Entry 1:
Entry from Alexandria via LeMat-Bulk: crystalline ZrPbAu2 at its relaxed geometry (PBEsol).

Lattice parameters (Å, degrees): 3.4319 3.4420 6.9258 90.00 90.00 90.00
Space group Pmm2 (No. 25)
Unique sites:
Zr (0.0000, 0.0000, 0.0000) (multiplicity 1)
Pb (0.5000, 0.5000, 0.3032) (multiplicity 1)
Au (0.0000, 0.0000, 0.5700) (multiplicity 1)
Au (0.5000, 0.5000, 0.7860) (multiplicity 1)

Computed properties:
Energy   -21.74 eV per cell
Energy relative to the elements   -0.200 eV per atom
V   81.81 Å³/cell

Entry 2:
Entry from Alexandria via LeMat-Bulk: crystalline TaCo2 at its relaxed geometry (PBEsol).

Lattice parameters (Å, degrees): 5.1215 3.7192 7.7606 90.00 90.00 90.00
Space group Pnma (No. 62)
Unique sites:
Ta (0.1592, 0.2500, 0.1039) (multiplicity 4)
Co (0.0986, 0.2500, 0.7546) (multiplicity 4)
Co (0.1426, 0.2500, 0.4243) (multiplicity 4)

Computed properties:
Energy   -114.82 eV per cell
Energy relative to the elements   -0.226 eV per atom
V   147.82 Å³/cell

> Which of these has the lowest energy?

TaCo2

> Which value of energy does entry 2 give?

-114.82 eV per cell

What did the second record say?
Entry from Alexandria via LeMat-Bulk: crystalline TaCo2 at its relaxed geometry (PBEsol).

Lattice parameters (Å, degrees): 5.1215 3.7192 7.7606 90.00 90.00 90.00
Space group Pnma (No. 62)
Unique sites:
Ta (0.1592, 0.2500, 0.1039) (multiplicity 4)
Co (0.0986, 0.2500, 0.7546) (multiplicity 4)
Co (0.1426, 0.2500, 0.4243) (multiplicity 4)

Computed properties:
Energy   -114.82 eV per cell
Energy relative to the elements   -0.226 eV per atom
V   147.82 Å³/cell